# 1
An optimized crystal structure of LiCuPb2, computed with PBE.

Properties
Space group: I-42d (122)
Theoretical density (Mg/m³): 8.272
Polymorph energy (0 for the lowest one) (meV per atom): 185

Cell lengths 4.576, 4.576, 9.845 Å; angles 76.56, 76.56, 90.00 degrees
Fractional coordinates of all 8 atoms:
Pb1 0.120 0.625 0.250
Li1 0.500 0.500 0.000
Pb2 0.875 0.880 0.750
Cu1 0.000 0.000 0.000
Pb3 0.630 0.125 0.250
Pb4 0.375 0.370 0.750
Cu2 0.750 0.250 0.500
Li2 0.250 0.750 0.500



# 2
An optimized crystal structure of LiCuPb2, computed with PBE.

Properties
Space group: C2/m (12)
Theoretical density (Mg/m³): 9.217
Polymorph energy (0 for the lowest one) (meV per atom): 20

Cell lengths 7.913, 4.876, 3.677 Å; angles 91.64, 60.00, 128.52 degrees
Fractional coordinates of all 4 atoms:
Cu1 0.000 0.500 0.500
Pb1 0.000 0.000 0.000
Pb2 0.500 0.000 0.500
Li1 0.500 0.500 0.000



# 3
An optimized crystal structure of LiCuPb2, computed with PBE.

Properties
Space group: P2/m (10)
Theoretical density (Mg/m³): 9.126
Polymorph energy (0 for the lowest one) (meV per atom): 10

Cell lengths 3.512, 3.461, 7.953 Å; angles 65.90, 90.00, 90.00 degrees
Fractional coordinates of all 4 atoms:
Pb1 0.000 0.989 0.017
Li1 0.500 0.750 0.750
Pb2 0.000 0.511 0.483
Cu1 0.500 0.250 0.250



no.,formation enthalpy at 0 K (eV per atom),D(E_F) (states/eV per cell)
1,0.182,4.80
2,0.017,1.48
3,0.007,1.15